Material: BaNa2LiV
Method: DFT, PBE-GGA
State: optimized geometry

density of states at the Fermi level	0.826	states/eV/atom
symmetry	P4/mmm (123)
energy relative to the elements	801.0	meV/atom
calculated volume	44.777	Å³/atom
E	-2.3177	eV/atom

Structure (POSCAR):
```
BaNa2LiV
1.0
-0.698 -3.891 4.467
5.708 1.489 2.190
-2.411 4.295 3.364
Na Li V Ba
2 1 1 1
Cartesian
-0.349 -1.946 2.233
-1.206 2.148 1.682
1.299 0.947 5.010
0.000 0.000 0.000
2.854 0.745 1.095
```